VASP calculation (PBE) on a relaxed structure of SrSn2P2.

Lattice parameters (Å, degrees): 7.6084 7.6084 4.5369 90.00 90.00 90.00
With the nearest neighbours (Å) after each atom.
Sites, in units of the cell vectors:
Sr 0.0000 0.0000 0.0000  4 P 3.11
Sr 0.5000 0.5000 0.0000  4 P 3.11
Sn 0.1406 0.6406 0.5000  4 P 2.95, 1 Sn 3.03
Sn 0.6406 0.8594 0.5000  4 P 2.95, 1 Sn 3.03
Sn 0.8594 0.3594 0.5000  4 P 2.95, 1 Sn 3.03
Sn 0.3594 0.1406 0.5000  4 P 2.95, 1 Sn 3.03
P 0.3956 0.8956 0.0000  1 P 2.25
P 0.8956 0.6044 0.0000  1 P 2.25
P 0.6044 0.1044 0.0000  1 P 2.25
P 0.1044 0.3956 0.0000  1 P 2.25

Values from the calculation:
- Volume: 26.3 Å³ per atom
- Space-group type: P4/mbm, No. 127
- DFT formation energy: -0.98 eV/f.u.
- Theoretical density: 4.9 g cm⁻³
- Calculated total energy: -43.0 eV for the cell shown
- Crystal system: tetragonal